[1]
Computed, not measured: a relaxed InSbTe2S crystal at the PBE level of DFT.

Cell and atoms, written as POSCAR:
```
InSbTe2S
1.0
5.346 0.000 0.000
0.000 5.346 0.000
0.000 0.000 5.309
In Sb Te S
1 1 2 1
Cartesian
0.000 0.000 0.000 In
2.673 2.673 0.000 Sb
0.000 2.673 2.654 Te
2.673 0.000 2.654 Te
2.673 2.673 2.654 S
```

Calculated values
As for the relative energy among the computed polymorphs: 0.000 eV/atom. The density of states at the Fermi level comes out at 4.8 states/eV/cell. The uncorrected formation energy is 0.3260 eV per atom. Its space group is P4/mmm (123). As for the magnetic moment: 0.004 μB/cell.

=====

[2]
Computed, not measured: a relaxed NaSr3Be2O6 crystal at the PBE level of DFT.

Cell and atoms, written as POSCAR:
```
NaSr3Be2O6
1.0
5.680 0.000 0.000
-2.840 4.919 0.000
0.000 0.000 6.440
Na Sr Be O
1 3 2 6
Cartesian
0.000 0.000 0.000 Na
0.000 0.000 3.220 Sr
0.000 3.279 1.030 Sr
2.840 1.640 5.410 Sr
0.000 3.279 4.761 Be
2.840 1.640 1.679 Be
0.000 1.776 4.972 O
-1.301 4.031 4.972 O
1.538 0.888 1.468 O
1.301 4.031 4.972 O
4.141 0.888 1.468 O
2.840 3.142 1.468 O
```

Calculated values
The density of states at the Fermi level comes out at 6.3 states/eV/cell. The uncorrected formation energy is -2.2881 eV per atom. Its space group is P-3m1 (164). As for the magnetic moment: 0.956 μB/cell.

=====

[3]
Computed, not measured: a relaxed CaHfAsP crystal at the PBE level of DFT.

Cell and atoms, written as POSCAR:
```
CaHfAsP
1.0
1.942 1.121 6.709
-1.942 1.121 6.709
0.000 -2.243 6.709
Ca Hf As P
1 1 1 1
Cartesian
0.000 0.000 0.000 Ca
0.000 0.000 9.950 Hf
0.000 0.000 4.814 As
0.000 0.000 15.238 P
```

Calculated values
The value obtained for the formation energy is -4.80 eV per formula unit. The density of states at the Fermi level comes out at 0.7 states/eV/cell. Its space group is R3m (160). As for the magnetic moment: 0.000 μB/cell.

=====

[4]
Computed, not measured: a relaxed Pm3Pr8Sc crystal at the PBE level of DFT.

Cell and atoms, written as POSCAR:
```
Pm3Pr8Sc
1.0
9.507 -1.843 0.000
9.507 1.843 0.000
-8.378 0.000 11.938
Pm Pr Sc
3 8 1
Cartesian
0.000 0.000 0.000 Pm
4.234 0.000 3.012 Pm
6.370 0.000 5.993 Pm
-4.090 0.000 8.946 Pr
-0.030 0.000 6.108 Pr
-1.981 0.000 11.838 Pr
2.078 0.000 8.970 Pr
10.555 0.000 3.016 Pr
12.697 0.000 0.009 Pr
12.696 0.000 6.004 Pr
16.891 0.000 2.980 Pr
8.499 0.000 8.949 Sc
```

Calculated values
The value obtained for the formation energy is 0.38 eV per formula unit. The density of states at the Fermi level comes out at 19.2 states/eV/cell. Its space group is Cm (8). As for the magnetic moment: 0.000 μB/cell.

=====

[5]
Computed, not measured: a relaxed K3CuS crystal at the PBE level of DFT.

Cell and atoms, written as POSCAR:
```
K3CuS
1.0
6.033 0.000 0.000
0.000 6.033 0.000
0.000 0.000 6.033
K Cu S
3 1 1
Cartesian
0.000 0.000 3.017 K
0.000 3.017 0.000 K
3.017 0.000 0.000 K
3.017 3.017 3.017 Cu
0.000 0.000 0.000 S
```

Calculated values
As for the relative energy among the computed polymorphs: 0.000 eV/atom. The density of states at the Fermi level comes out at 0.0 states/eV/cell. The uncorrected formation energy is -0.3485 eV per atom. Its space group is Pm-3m (221). As for the magnetic moment: 0.000 μB/cell.

=====

[6]
Computed, not measured: a relaxed SrGa2SiAs crystal at the PBE level of DFT.

Cell and atoms, written as POSCAR:
```
SrGa2SiAs
1.0
4.915 0.000 0.000
0.000 4.915 0.000
0.000 0.000 5.908
Sr Ga Si As
1 2 1 1
Cartesian
0.000 0.000 0.000 Sr
0.000 2.458 2.954 Ga
2.458 0.000 2.954 Ga
2.458 2.458 0.000 Si
0.000 0.000 2.954 As
```

Calculated values
The density of states at the Fermi level comes out at 3.8 states/eV/cell. The uncorrected formation energy is 0.2859 eV per atom. Its space group is P4/mmm (123). As for the magnetic moment: 0.000 μB/cell.

=====

[7]
Computed, not measured: a relaxed KTlP2 crystal at the PBE level of DFT.

Cell and atoms, written as POSCAR:
```
KTlP2
1.0
5.356 0.000 0.000
0.000 3.413 0.000
-2.100 0.000 6.107
K Tl P
1 1 2
Cartesian
0.000 0.000 0.000 K
2.553 1.707 2.622 Tl
-0.113 0.000 3.433 P
0.581 1.707 4.726 P
```

Calculated values
As for the relative energy among the computed polymorphs: 0.000 eV/atom. The value obtained for the formation energy is -0.71 eV per formula unit. The density of states at the Fermi level comes out at 0.4 states/eV/cell. Its space group is Pm (6). As for the magnetic moment: 0.000 μB/cell.

=====

[8]
Computed, not measured: a relaxed KBe2S crystal at the PBE level of DFT.

Cell and atoms, written as POSCAR:
```
KBe2S
1.0
-3.612 3.612 3.055
3.612 -3.612 3.055
3.612 3.612 -3.055
K Be S
2 4 2
Cartesian
0.000 0.000 0.000 K
0.000 3.612 1.528 K
1.806 2.614 -0.764 Be
4.610 1.806 0.764 Be
1.806 0.998 2.292 Be
-0.998 1.806 3.819 Be
3.612 0.000 1.528 S
0.000 0.000 3.055 S
```

Calculated values
As for the relative energy among the computed polymorphs: 0.000 eV/atom. The density of states at the Fermi level comes out at 5.7 states/eV/cell. The uncorrected formation energy is 0.4346 eV per atom. Its space group is I-42d (122). As for the magnetic moment: 0.000 μB/cell.